First-principles (PBE) data for an optimized crystal structure of GeBAu, as listed in Alexandria via LeMat-Bulk.

a b c (Å): 3.1146 5.6693 5.7583
angles (deg): 83.60 89.02 78.47
Space group P1 (No. 1)
Asymmetric unit:
1 Ge 0.0000 0.0000 0.0000 (multiplicity 1)
2 Ge 0.1756 0.3768 0.5852 (multiplicity 1)
3 B 0.0746 0.7059 0.2650 (multiplicity 1)
4 B 0.6050 0.6185 0.3359 (multiplicity 1)
5 Au 0.1917 0.8849 0.5981 (multiplicity 1)
6 Au 0.3776 0.3572 0.0815 (multiplicity 1)

Values from the calculation:
density = 9.4 Mg/m³
crystal system = triclinic
formation energy from the elements = 0.3370 eV per atom